HfTl2W2 PBE-GGA optimized geometry; DFT formation energy = 85.42 kJ/mol of atoms; excess energy over the best structure of this formula in the dataset = 0.000 eV per atom; total magnetization = 0.00 μB/cell
1.0
-3.551 -0.914 0.080
0.454 -1.473 3.328
-3.318 5.979 5.120
Tl W Hf
2 2 1
Direct
0.606 0.606 0.788
0.394 0.394 0.212
0.250 0.750 0.500
0.750 0.250 0.500
0.000 0.000 0.000